No. 1
Here is an optimized crystal structure of CrTeMo2 from Alexandria. Energies are from PBE.

E_form (uncorrected): 229 kJ/mol of formula units
VASP energy: -0.5889 Ry per atom

Cell and atoms, written as CIF:
```
data_CrTeMo2
_cell_length_a 5.3542
_cell_length_b 5.0834
_cell_length_c 3.0249
_cell_angle_alpha 81.24
_cell_angle_beta 74.00
_cell_angle_gamma 116.40
_symmetry_space_group_name_H-M 'P 1'
_symmetry_Int_Tables_number 1
loop_
_symmetry_equiv_pos_as_xyz
'x,y,z'
loop_
_atom_site_label
_atom_site_fract_x
_atom_site_fract_y
_atom_site_fract_z
Cr1 0.5000 0.5000 0.0000
Mo1 0.5000 0.0000 0.5000
Mo2 0.0000 0.0000 0.0000
Te1 0.0000 0.5000 0.5000
```

---

No. 2
Here is an optimized crystal structure of CrTeMo2 from Alexandria. Energies are from PBE.

E_form (uncorrected): 150 kJ/mol of formula units
VASP energy: -0.6041 Ry per atom

Cell and atoms, written as CIF:
```
data_CrTeMo2
_cell_length_a 3.1169
_cell_length_b 3.1169
_cell_length_c 6.7123
_cell_angle_alpha 90.00
_cell_angle_beta 90.00
_cell_angle_gamma 90.00
_symmetry_space_group_name_H-M 'P 1'
_symmetry_Int_Tables_number 1
loop_
_symmetry_equiv_pos_as_xyz
'x,y,z'
loop_
_atom_site_label
_atom_site_fract_x
_atom_site_fract_y
_atom_site_fract_z
Mo1 0.0000 0.0000 0.9705
Mo2 0.0000 0.0000 0.5295
Cr1 0.5000 0.5000 0.7500
Te1 0.5000 0.5000 0.2500
```

---

No. 3
Here is an optimized crystal structure of Cr2TeMo from Alexandria. Energies are from PBE.

E_form (uncorrected): 233 kJ/mol of formula units
VASP energy: -0.5659 Ry per atom

Cell and atoms, written as CIF:
```
data_Cr2TeMo
_cell_length_a 7.9940
_cell_length_b 7.9940
_cell_length_c 7.9940
_cell_angle_alpha 22.25
_cell_angle_beta 22.25
_cell_angle_gamma 22.25
_symmetry_space_group_name_H-M 'P 1'
_symmetry_Int_Tables_number 1
loop_
_symmetry_equiv_pos_as_xyz
'x,y,z'
loop_
_atom_site_label
_atom_site_fract_x
_atom_site_fract_y
_atom_site_fract_z
Te1 0.7470 0.7470 0.7470
Mo1 0.5097 0.5097 0.5097
Cr1 0.2535 0.2535 0.2535
Cr2 0.9899 0.9899 0.9899
```

---

No. 4
Here is an optimized crystal structure of CrTeMo2 from Alexandria. Energies are from PBE.

E_form (uncorrected): 174 kJ/mol of formula units
VASP energy: -0.5995 Ry per atom

Cell and atoms, written as CIF:
```
data_CrTeMo2
_cell_length_a 3.2917
_cell_length_b 4.3332
_cell_length_c 4.5664
_cell_angle_alpha 90.00
_cell_angle_beta 90.00
_cell_angle_gamma 90.00
_symmetry_space_group_name_H-M 'P 1'
_symmetry_Int_Tables_number 1
loop_
_symmetry_equiv_pos_as_xyz
'x,y,z'
loop_
_atom_site_label
_atom_site_fract_x
_atom_site_fract_y
_atom_site_fract_z
Mo1 0.0000 0.0000 0.0000
Mo2 0.5000 0.5000 0.0000
Te1 0.5000 0.0000 0.5000
Cr1 0.0000 0.5000 0.5000
```

---

No. 5
Here is an optimized crystal structure of CrTe2Mo from Alexandria. Energies are from PBE.

E_form (uncorrected): 338 kJ/mol of formula units
energy above the most stable polymorph in this dataset: 886.5 meV per atom
VASP energy: -0.4268 Ry per atom

Cell and atoms, written as CIF:
```
data_CrTe2Mo
_cell_length_a 4.9029
_cell_length_b 4.9029
_cell_length_c 4.9029
_cell_angle_alpha 60.00
_cell_angle_beta 60.00
_cell_angle_gamma 60.00
_symmetry_space_group_name_H-M 'P 1'
_symmetry_Int_Tables_number 1
loop_
_symmetry_equiv_pos_as_xyz
'x,y,z'
loop_
_atom_site_label
_atom_site_fract_x
_atom_site_fract_y
_atom_site_fract_z
Mo1 0.2500 0.2500 0.2500
Te1 0.7500 0.7500 0.7500
Te2 0.0000 0.0000 0.0000
Cr1 0.5000 0.5000 0.5000
```

---

No. 6
Here is an optimized crystal structure of CrTeMo4 from Alexandria. Energies are from PBE.

E_form (uncorrected): 353 kJ/mol of formula units
VASP energy: -0.6423 Ry per atom

Cell and atoms, written as CIF:
```
data_CrTeMo4
_cell_length_a 5.2860
_cell_length_b 5.2860
_cell_length_c 5.2860
_cell_angle_alpha 60.00
_cell_angle_beta 60.00
_cell_angle_gamma 60.00
_symmetry_space_group_name_H-M 'P 1'
_symmetry_Int_Tables_number 1
loop_
_symmetry_equiv_pos_as_xyz
'x,y,z'
loop_
_atom_site_label
_atom_site_fract_x
_atom_site_fract_y
_atom_site_fract_z
Te1 0.7500 0.7500 0.7500
Mo1 0.3748 0.3748 0.8757
Mo2 0.3748 0.8757 0.3748
Mo3 0.3748 0.3748 0.3748
Mo4 0.8757 0.3748 0.3748
Cr1 0.0000 0.0000 0.0000
```